(1)
# PBE-GGA SmAgSnSeS2, optimized geometry
# crystal system	orthorhombic
data_SmAgSnSeS2
_space_group_name_H-M_alt 'C m c m'
_space_group_IT_number 63
_space_group_name_Hall '-C 2c 2'
_cell_length_a 4.0593
_cell_length_b 13.3067
_cell_length_c 10.9125
_cell_angle_alpha 90.00
_cell_angle_beta 90.00
_cell_angle_gamma 90.00
loop_
_atom_site_label
_atom_site_fract_x
_atom_site_fract_y
_atom_site_fract_z
Sm1 0.0000 0.0000 0.0000
Ag1 0.0000 0.4719 0.2500
Sn1 0.0000 0.2295 0.7500
Se1 0.0000 0.1039 0.2500
S1 0.0000 0.3618 0.0640

***

(2)
# PBE-GGA SmAgSnSe2S, optimized geometry
# crystal system	orthorhombic
data_SmAgSnSe2S
_space_group_name_H-M_alt 'C m c m'
_space_group_IT_number 63
_space_group_name_Hall '-C 2c 2'
_cell_length_a 4.1596
_cell_length_b 13.5692
_cell_length_c 10.5060
_cell_angle_alpha 90.00
_cell_angle_beta 90.00
_cell_angle_gamma 90.00
loop_
_atom_site_label
_atom_site_fract_x
_atom_site_fract_y
_atom_site_fract_z
Sm1 0.0000 0.0000 0.0000
Ag1 0.0000 0.4747 0.2500
Sn1 0.0000 0.2554 0.7500
Se1 0.0000 0.3512 0.0581
S1 0.0000 0.0892 0.2500

***

(3)
# PBE-GGA SrSmAgSeS2, optimized geometry
# crystal system	orthorhombic
data_SrSmAgSeS2
_space_group_name_H-M_alt 'C m c m'
_space_group_IT_number 63
_space_group_name_Hall '-C 2c 2'
_cell_length_a 4.0969
_cell_length_b 13.7795
_cell_length_c 10.7740
_cell_angle_alpha 90.00
_cell_angle_beta 90.00
_cell_angle_gamma 90.00
loop_
_atom_site_label
_atom_site_fract_x
_atom_site_fract_y
_atom_site_fract_z
Sr1 0.0000 0.2321 0.2500
Sm1 0.0000 0.0000 0.0000
Ag1 0.0000 0.4786 0.7500
Se1 0.0000 0.1000 0.7500
S1 0.0000 0.3662 0.5659

***

| no. | calculated volume (Å³ per atom) | raw total energy (eV per atom) |
| --- | --- | --- |
| 1 | 24.6 | -4.80 |
| 2 | 24.7 | -4.69 |
| 3 | 25.3 | -5.04 |